Entry 1:
Material: PrNdPu2Te5
Method: DFT, PBE-GGA
State: optimized geometry

spin magnetization	11.95	μB/f.u.
energy relative to the elements, uncorrected	-621	meV per atom

a b c (Å): 5.6918 5.6918 11.9400
angles (deg): 90.00 90.00 90.00
Element x y z (fractional)
Pr (0.0000, 0.0000, 0.0000)
Nd (0.0000, 0.0000, 0.5000)
Pu (0.5000, 0.5000, 0.3339)
Pu (0.5000, 0.5000, 0.6661)
Te (0.0000, 0.0000, 0.2464)
Te (0.0000, 0.0000, 0.7536)
Te (0.0000, 0.5000, 0.5000)
Te (0.5000, 0.0000, 0.5000)
Te (0.5000, 0.5000, 0.0000)


Entry 2:
Material: Pr2Nd3PuTe6
Method: DFT, PBE-GGA
State: optimized geometry

spin magnetization	6.02	μB/f.u.
energy relative to the elements, uncorrected	-1385	meV per atom

a b c (Å): 10.0606 10.0606 9.0389
angles (deg): 103.01 103.01 25.72
Element x y z (fractional)
Pr (0.1661, 0.1661, 0.3321)
Pr (0.8339, 0.8339, 0.6679)
Nd (0.1692, 0.1692, 0.8354)
Nd (0.5000, 0.5000, 0.5000)
Nd (0.8308, 0.8308, 0.1646)
Pu (0.5000, 0.5000, 0.0000)
Te (0.0017, 0.0017, 0.7549)
Te (0.3338, 0.3338, 0.4152)
Te (0.3359, 0.3359, 0.9198)
Te (0.6641, 0.6641, 0.0802)
Te (0.6662, 0.6662, 0.5848)
Te (0.9983, 0.9983, 0.2451)